Below is a geometry-optimized Hg3AsF structure, with properties calculated at the PBE level.

Crystal system: cubic
Space group: Pm-3m, No. 221
Size of the total moment in μB/f.u.: 0.00
Energy in eV per atom: -1.6959

```
Hg3AsF
1.0
5.363 0.000 0.000
0.000 5.363 0.000
0.000 0.000 5.363
Hg As F
3 1 1
Cartesian
0.000 0.000 2.681
0.000 2.681 0.000
2.681 0.000 0.000
0.000 0.000 0.000
2.681 2.681 2.681
```